Entry 1:
BaRh3O (meta-GGA SCAN, PBEsol geometry); N(E_F) = 0.2448 states/eV/atom; density = 6.1 g/cm³; formation energy without anion corrections = 2.3534 eV per atom
1.0
5.0074 0.0000 0.0000
0.0000 5.0074 0.0000
0.0000 0.0000 5.0074
Rh Ba O
3 1 1
direct
0.0000 0.5000 0.0000
0.0000 0.0000 0.5000
0.5000 0.0000 0.0000
0.0000 0.0000 0.0000
0.5000 0.5000 0.5000

Entry 2:
BaRhO3 (meta-GGA SCAN, PBEsol geometry); N(E_F) = 0.4942 states/eV/atom; density = 7.2 g/cm³; formation energy without anion corrections = -1.8470 eV per atom
1.0
5.7083 0.0000 0.0000
-2.8541 4.9435 0.0000
0.0000 0.0000 14.0961
Rh Ba O
6 6 18
direct
0.3333 0.6667 0.8447
0.6667 0.3333 0.3447
0.6667 0.3333 0.1553
0.3333 0.6667 0.6553
0.0000 0.0000 0.5000
0.0000 0.0000 0.0000
0.3333 0.6667 0.4117
0.6667 0.3333 0.9117
0.6667 0.3333 0.5883
0.3333 0.6667 0.0883
0.0000 0.0000 0.7500
0.0000 0.0000 0.2500
0.8399 0.6799 0.4166
0.3201 0.1601 0.4166
0.8399 0.1601 0.4166
0.1601 0.8399 0.9166
0.1601 0.8399 0.5834
0.1601 0.3201 0.9166
0.6799 0.8399 0.9166
0.3201 0.1601 0.0834
0.8399 0.6799 0.0834
0.1601 0.3201 0.5834
0.6799 0.8399 0.5834
0.8399 0.1601 0.0834
0.5173 0.4827 0.2500
0.0345 0.5173 0.7500
0.4827 0.9655 0.7500
0.5173 0.0345 0.2500
0.9655 0.4827 0.2500
0.4827 0.5173 0.7500

Entry 3:
Ba5Ru2O10 (meta-GGA SCAN, PBEsol geometry); density = 6.4 g/cm³; formation energy without anion corrections = -2.3244 eV per atom
1.0
-2.3220 -0.8568 -5.4010
-2.3631 -2.7318 4.7169
-10.9792 13.8529 2.5224
Ba Ru O
10 4 20
direct
0.3333 0.6667 0.0146
0.6667 0.3333 0.5146
0.6667 0.3333 0.9854
0.3333 0.6667 0.4854
0.6667 0.3333 0.7500
0.3333 0.6667 0.2500
0.0000 0.0000 0.1372
0.0000 0.0000 0.6372
0.0000 0.0000 0.8628
0.0000 0.0000 0.3628
0.3333 0.6667 0.6731
0.6667 0.3333 0.1731
0.6667 0.3333 0.3269
0.3333 0.6667 0.8269
0.0000 0.0000 0.0000
0.0000 0.0000 0.5000
0.4888 0.5112 0.6166
0.0223 0.5112 0.6166
0.4888 0.9777 0.6166
0.5112 0.0223 0.1166
0.9777 0.4888 0.3834
0.5112 0.4888 0.1166
0.9777 0.4888 0.1166
0.4888 0.5112 0.8834
0.4888 0.9777 0.8834
0.5112 0.0223 0.3834
0.5112 0.4888 0.3834
0.0223 0.5112 0.8834
0.6276 0.8138 0.7500
0.8138 0.1862 0.2500
0.8138 0.6276 0.2500
0.1862 0.3724 0.7500
0.1862 0.8138 0.7500
0.3724 0.1862 0.2500

Entry 4:
Ba2RuO4 (meta-GGA SCAN, PBEsol geometry); N(E_F) = 0.2629 states/eV/atom; density = 7.0 g/cm³; formation energy without anion corrections = -2.2774 eV per atom
1.0
-1.7232 -0.5944 -3.5033
3.4401 -1.2543 -1.4793
-2.3695 -5.3527 4.2997
Ru Ba O
1 2 4
direct
0.0000 0.0000 0.0000
0.6459 0.6459 0.2917
0.3541 0.3541 0.7083
0.8462 0.8462 0.6924
0.1538 0.1538 0.3076
0.5000 0.0000 0.0000
0.0000 0.5000 0.0000